i.
A plane-wave DFT calculation with PBE was carried out for a relaxed Nb6Tc2W crystal.

Output
Theoretical density ... 9.8 Mg/m³
Magnetic moment ... 0.000 μB/atom
Space-group type ... No. 147
DOS at the Fermi energy ... 8.6 states/eV per cell

The structure in extended XYZ format:
```
9
Lattice="3.1161 0.0000 0.0000 0.0000 7.6893 0.0000 0.0000 -3.8447 6.6591" Properties=species:S:1:pos:R:3 pbc="T T T"
Nb 0.7152 2.1246 4.6796
Nb 0.7152 -0.8543 2.4794
Nb 0.7152 -1.2703 6.1593
Nb 2.4009 1.7200 1.9796
Nb 2.4009 4.6990 4.1798
Nb 2.4009 5.1149 0.4998
Tc 0.8097 3.8447 2.2197
Tc 2.3064 0.0000 4.4394
W 1.5580 0.0000 0.0000
```

ii.
A plane-wave DFT calculation with PBE was carried out for a relaxed Nb6Tc2W crystal.

Output
Theoretical density ... 10.2 Mg/m³
Magnetic moment ... 0.000 μB/atom
Space-group type ... No. 12
DOS at the Fermi energy ... 5.2 states/eV per cell

The structure in extended XYZ format:
```
9
Lattice="3.1838 0.0000 0.5055 1.4104 5.0093 1.3959 0.1066 -0.0952 9.6084" Properties=species:S:1:pos:R:3 pbc="T T T"
Nb 2.9202 2.7520 2.1658
Nb 1.7806 2.1620 9.3439
Nb 2.2100 3.8523 6.6390
Nb 4.1652 3.3545 4.6039
Nb 0.5356 1.5596 6.9058
Nb 2.4908 1.0617 4.8708
Tc 1.2499 0.5209 2.4068
Tc 3.4509 4.3931 9.1030
W 0.0000 0.0000 0.0000
```

Stability ranking, top and bottom: ii is the most stable and i is the least stable.

i.
A plane-wave DFT calculation with PBE was carried out for a relaxed Nb2Tc4W crystal.

Output
Theoretical density ... 9.1 Mg/m³
Magnetic moment ... 0.033 μB/atom
Space-group type ... No. 139
DOS at the Fermi energy ... 6.6 states/eV per cell

The structure in extended XYZ format:
```
7
Lattice="-2.8465 3.2751 1.6379 -0.0136 -2.0840 4.1434 3.6478 4.1152 4.6776" Properties=species:S:1:pos:R:3 pbc="T T T"
Nb -0.1027 1.5156 3.3578
Nb 0.8904 3.7907 7.1012
Tc 1.7075 2.7703 3.9948
Tc -0.9198 2.5359 6.4642
Tc -0.0068 -1.0420 2.0717
Tc -1.4233 1.6375 0.8190
W 0.0000 0.0000 0.0000
```

ii.
A plane-wave DFT calculation with PBE was carried out for a relaxed Nb2Tc4W crystal.

Output
Theoretical density ... 10.5 Mg/m³
Magnetic moment ... 0.000 μB/atom
Space-group type ... No. 139
DOS at the Fermi energy ... 11.5 states/eV per cell

The structure in extended XYZ format:
```
7
Lattice="-4.3136 2.8960 -1.4328 -1.1938 -3.1023 4.2423 4.0487 3.2840 1.3674" Properties=species:S:1:pos:R:3 pbc="T T T"
Nb -2.7537 -0.1031 1.4048
Nb -0.1324 3.0900 -0.0327
Tc -2.1568 1.4480 -0.7164
Tc -0.7293 1.5389 2.0885
Tc 2.0244 1.6420 0.6837
Tc -0.5969 -1.5512 2.1212
W 0.0000 0.0000 0.0000
```

Stability ranking, top and bottom: ii is the most stable and i is the least stable.

i.
A plane-wave DFT calculation with PBE was carried out for a relaxed YNb3Tc crystal.

Output
Theoretical density ... 6.6 Mg/m³
Magnetic moment ... 0.000 μB/atom
Space-group type ... No. 221
DOS at the Fermi energy ... 9.4 states/eV per cell

The structure in extended XYZ format:
```
5
Lattice="-0.2659 -2.8697 -3.9462 4.7121 0.8747 -0.9536 1.2664 -3.8572 2.7197" Properties=species:S:1:pos:R:3 pbc="T T T"
Y 2.8563 -2.9261 -1.0901
Nb 2.3561 0.4374 -0.4768
Nb 0.6332 -1.9286 1.3598
Nb -0.1329 -1.4349 -1.9731
Tc 0.0000 0.0000 0.0000
```

ii.
A plane-wave DFT calculation with PBE was carried out for a relaxed YNb3Tc crystal.

Output
Theoretical density ... 6.9 Mg/m³
Magnetic moment ... 0.000 μB/atom
Space-group type ... No. 221
DOS at the Fermi energy ... 11.6 states/eV per cell

The structure in extended XYZ format:
```
5
Lattice="4.8197 0.0000 0.0000 0.0000 4.8197 0.0000 0.0000 0.0000 4.8197" Properties=species:S:1:pos:R:3 pbc="T T T"
Y 0.0000 0.0000 0.0000
Nb 0.0000 2.4099 0.0000
Nb 0.0000 0.0000 2.4099
Nb 2.4099 0.0000 0.0000
Tc 2.4099 2.4099 2.4099
```

Stability ranking, top and bottom: i is the most stable and ii is the least stable.

i.
A plane-wave DFT calculation with PBE was carried out for a relaxed YNb2Tc2 crystal.

Output
Theoretical density ... 8.3 Mg/m³
Magnetic moment ... 0.000 μB/atom
Space-group type ... No. 127
DOS at the Fermi energy ... 11.7 states/eV per cell

The structure in extended XYZ format:
```
10
Lattice="7.8804 0.0000 0.0000 0.0000 7.8804 0.0000 0.0000 0.0000 3.0192" Properties=species:S:1:pos:R:3 pbc="T T T"
Y 0.0000 0.0000 0.0000
Y 3.9402 3.9402 0.0000
Nb 2.8196 6.7598 0.0000
Nb 6.7598 5.0608 0.0000
Nb 5.0608 1.1206 0.0000
Nb 1.1206 2.8196 0.0000
Tc 1.1936 5.1338 1.5096
Tc 5.1338 6.6868 1.5096
Tc 6.6868 2.7466 1.5096
Tc 2.7466 1.1936 1.5096
```

ii.
A plane-wave DFT calculation with PBE was carried out for a relaxed YNb2Tc2 crystal.

Output
Theoretical density ... 8.2 Mg/m³
Magnetic moment ... 0.000 μB/atom
Space-group type ... No. 127
DOS at the Fermi energy ... 10.2 states/eV per cell

The structure in extended XYZ format:
```
10
Lattice="-4.7064 4.8691 3.8371 3.7104 -1.6470 6.6410 1.9998 2.3535 -0.5336" Properties=species:S:1:pos:R:3 pbc="T T T"
Y 0.0000 0.0000 0.0000
Y -0.4980 1.6111 5.2390
Nb 2.7107 0.8202 4.5721
Nb 1.1374 2.9086 7.8864
Nb -1.7070 4.7555 5.3723
Nb -0.1336 2.6670 2.0580
Tc 1.4999 0.3259 7.0581
Tc -1.6452 3.1119 7.5593
Tc -2.4959 2.8963 3.4199
Tc 0.6491 0.1102 2.9187
```

Stability ranking, top and bottom: ii is the most stable and i is the least stable.

i.
A plane-wave DFT calculation with PBE was carried out for a relaxed Nb3ZnTc crystal.

Output
Theoretical density ... 6.6 Mg/m³
Magnetic moment ... 0.000 μB/atom
Space-group type ... No. 221
DOS at the Fermi energy ... 3.7 states/eV per cell

The structure in extended XYZ format:
```
5
Lattice="4.8046 0.0000 0.0000 0.0000 4.8046 0.0000 0.0000 0.0000 4.8046" Properties=species:S:1:pos:R:3 pbc="T T T"
Zn 2.4023 2.4023 2.4023
Nb 0.0000 2.4023 0.0000
Nb 0.0000 0.0000 2.4023
Nb 2.4023 0.0000 0.0000
Tc 0.0000 0.0000 0.0000
```

ii.
A plane-wave DFT calculation with PBE was carried out for a relaxed Nb3ZnTc crystal.

Output
Theoretical density ... 7.3 Mg/m³
Magnetic moment ... 0.000 μB/atom
Space-group type ... No. 221
DOS at the Fermi energy ... 10.1 states/eV per cell

The structure in extended XYZ format:
```
5
Lattice="-1.7204 -4.3012 -0.3672 1.5578 -0.2499 -4.3710 4.0259 -1.7413 1.5344" Properties=species:S:1:pos:R:3 pbc="T T T"
Zn 0.0000 0.0000 0.0000
Nb 0.7789 -0.1250 -2.1855
Nb 2.0130 -0.8706 0.7672
Nb -0.8602 -2.1506 -0.1836
Tc 1.9317 -3.1462 -1.6019
```

Stability ranking, top and bottom: i is the most stable and ii is the least stable.

i.
A plane-wave DFT calculation with PBE was carried out for a relaxed NbZnTc3 crystal.

Output
Theoretical density ... 7.1 Mg/m³
Magnetic moment ... 0.541 μB/atom
Space-group type ... No. 221
DOS at the Fermi energy ... 5.9 states/eV per cell

The structure in extended XYZ format:
```
5
Lattice="4.7342 0.0000 0.0000 0.0000 4.7342 0.0000 0.0000 0.0000 4.7342" Properties=species:S:1:pos:R:3 pbc="T T T"
Zn 2.3671 2.3671 2.3671
Nb 0.0000 0.0000 0.0000
Tc 0.0000 2.3671 0.0000
Tc 0.0000 0.0000 2.3671
Tc 2.3671 0.0000 0.0000
```

ii.
A plane-wave DFT calculation with PBE was carried out for a relaxed NbZnTc3 crystal.

Output
Theoretical density ... 8.5 Mg/m³
Magnetic moment ... 0.000 μB/atom
Space-group type ... No. 221
DOS at the Fermi energy ... 9.1 states/eV per cell

The structure in extended XYZ format:
```
5
Lattice="4.4570 0.0000 0.0000 0.0000 4.4570 0.0000 0.0000 0.0000 4.4570" Properties=species:S:1:pos:R:3 pbc="T T T"
Zn 0.0000 0.0000 0.0000
Nb 2.2285 2.2285 2.2285
Tc 0.0000 2.2285 0.0000
Tc 0.0000 0.0000 2.2285
Tc 2.2285 0.0000 0.0000
```

Stability ranking, top and bottom: ii is the most stable and i is the least stable.